VASP calculation (SCAN) on a crystal of CaFeO2F relaxed with PBEsol.

POSCAR file:
```
CaFeO2F
1.0
4.2692 0.0000 0.0000
0.0000 4.2692 0.0000
0.0000 0.0000 4.0856
Ca Fe O F
1 1 2 1
direct
0.0000 0.0000 0.0000
0.5000 0.5000 0.5000
0.0000 0.5000 0.0000
0.5000 0.0000 0.0000
0.0000 0.0000 0.5000
```

* uncorrected formation energy: -1.0651 eV/atom
* space group: P4/mmm, No. 123

=====

VASP calculation (SCAN) on a crystal of CaFePt2F relaxed with PBEsol.

POSCAR file:
```
CaFePt2F
1.0
4.7746 0.0000 0.0000
0.0000 4.7746 0.0000
0.0000 0.0000 3.8347
Ca Fe Pt F
1 1 2 1
direct
0.0000 0.0000 0.0000
0.5000 0.5000 0.5000
0.0000 0.5000 0.5000
0.5000 0.0000 0.5000
0.5000 0.5000 0.0000
```

* uncorrected formation energy: -0.7299 eV/atom
* space group: P4/mmm, No. 123

=====

VASP calculation (SCAN) on a crystal of LiCaGaF6 relaxed with PBEsol.

POSCAR file:
```
LiCaGaF6
1.0
5.0844 0.0000 0.0000
-2.5422 4.4032 0.0000
0.0000 0.0000 9.7209
Li Ca Ga F
2 2 2 12
direct
0.3333 0.6667 0.2500
0.6667 0.3333 0.7500
0.0000 0.0000 0.0000
0.0000 0.0000 0.5000
0.3333 0.6667 0.7500
0.6667 0.3333 0.2500
0.0161 0.3653 0.8601
0.0161 0.6508 0.6399
0.3492 0.3653 0.6399
0.3492 0.9839 0.8601
0.3653 0.0161 0.3601
0.3653 0.3492 0.1399
0.6347 0.6508 0.8601
0.6347 0.9839 0.6399
0.6508 0.0161 0.1399
0.6508 0.6347 0.3601
0.9839 0.3492 0.3601
0.9839 0.6347 0.1399
```

* uncorrected formation energy: -3.3788 eV/atom
* space group: P-31c, No. 163

=====

VASP calculation (SCAN) on a crystal of CaTaGaF2 relaxed with PBEsol.

POSCAR file:
```
CaTaGaF2
1.0
4.3170 0.0000 0.0000
0.0000 4.3170 0.0000
0.0000 0.0000 5.3145
Ca Ta Ga F
1 1 1 2
direct
0.0000 0.0000 0.0000
0.5000 0.5000 0.0000
0.5000 0.5000 0.5000
0.0000 0.5000 0.5000
0.5000 0.0000 0.5000
```

* uncorrected formation energy: -0.3288 eV/atom
* space group: P4/mmm, No. 123

=====

VASP calculation (SCAN) on a crystal of Ca10Ge6F relaxed with PBEsol.

POSCAR file:
```
Ca10Ge6F
1.0
-3.8235 3.8235 7.2232
3.8235 -3.8235 7.2232
3.8235 3.8235 -7.2232
Ca Ge F
10 6 1
direct
0.0687 0.7136 0.0000
0.2316 0.2316 0.6665
0.2500 0.7500 0.5000
0.2864 0.2864 0.3550
0.4349 0.7684 0.0000
0.5651 0.5651 0.3335
0.7136 0.0687 0.0000
0.7500 0.2500 0.5000
0.7684 0.4349 0.0000
0.9313 0.9313 0.6450
0.0000 0.5000 0.5000
0.1287 0.3649 0.0000
0.3649 0.1287 0.0000
0.5000 0.0000 0.5000
0.6351 0.6351 0.7638
0.8713 0.8713 0.2362
0.5000 0.5000 0.0000
```

* uncorrected formation energy: -0.9929 eV/atom
* space group: I-42m, No. 121

=====

VASP calculation (SCAN) on a crystal of CaGeN2F relaxed with PBEsol.

POSCAR file:
```
CaGeN2F
1.0
4.5129 0.0000 0.0000
0.0000 4.5129 0.0000
0.0000 0.0000 4.0952
Ca Ge N F
1 1 2 1
direct
0.0000 0.0000 0.0000
0.5000 0.5000 0.5000
0.0000 0.5000 0.0000
0.5000 0.0000 0.0000
0.0000 0.0000 0.5000
```

* uncorrected formation energy: 0.3892 eV/atom
* space group: P4/mmm, No. 123

=====

VASP calculation (SCAN) on a crystal of CaGeOsF2 relaxed with PBEsol.

POSCAR file:
```
CaGeOsF2
1.0
3.9610 0.0000 0.0000
0.0000 3.9610 0.0000
0.0000 0.0000 6.5293
Ca Ge Os F
1 1 1 2
direct
0.0000 0.0000 0.0000
0.5000 0.5000 0.5000
0.0000 0.0000 0.5000
0.0000 0.5000 0.0000
0.5000 0.0000 0.0000
```

* uncorrected formation energy: -0.9874 eV/atom
* space group: P4/mmm, No. 123

=====

VASP calculation (SCAN) on a crystal of CaHF3 relaxed with PBEsol.

POSCAR file:
```
CaHF3
1.0
4.4128 0.0000 0.0000
0.0000 4.4128 0.0000
0.0000 0.0000 4.4128
Ca H F
1 1 3
direct
0.0000 0.0000 0.0000
0.5000 0.5000 0.5000
0.0000 0.0000 0.5000
0.0000 0.5000 0.0000
0.5000 0.0000 0.0000
```

* final energy: -6.58 eV per atom
* space group: Pm-3m, No. 221

=====

VASP calculation (SCAN) on a crystal of CaHF2 relaxed with PBEsol.

POSCAR file:
```
CaHF2
1.0
0.0000 2.7577 2.7577
2.7577 0.0000 2.7577
2.7577 2.7577 0.0000
Ca H F
1 1 2
direct
0.0000 0.0000 0.0000
0.5000 0.5000 0.5000
0.2500 0.2500 0.2500
0.7500 0.7500 0.7500
```

* ΔE to the lowest computed polymorph: 0.000 eV per formula unit
* space group: Fm-3m, No. 225

=====

VASP calculation (SCAN) on a crystal of CaH2F4 relaxed with PBEsol.

POSCAR file:
```
CaH2F4
1.0
0.0000 5.0076 5.2809
2.7857 0.0000 5.2809
2.7857 5.0076 0.0000
Ca H F
2 4 8
direct
0.1250 0.1250 0.1250
0.8750 0.8750 0.8750
0.2549 0.2549 0.4951
0.4951 0.4951 0.2549
0.5049 0.5049 0.7451
0.7451 0.7451 0.5049
0.1607 0.3520 0.7264
0.2608 0.7264 0.3520
0.2736 0.7392 0.8393
0.3520 0.1607 0.2608
0.6480 0.8393 0.7392
0.7264 0.2608 0.1607
0.7392 0.2736 0.6480
0.8393 0.6480 0.2736
```

* final energy: -7.15 eV per atom
* space group: Fddd, No. 70

=====

VASP calculation (SCAN) on a crystal of CaHF2 relaxed with PBEsol.

POSCAR file:
```
CaHF2
1.0
1.7488 1.0097 5.5364
-1.7488 1.0097 5.5364
0.0000 -2.0193 5.5364
Ca H F
1 1 2
direct
0.0000 0.0000 0.0000
0.5000 0.5000 0.5000
0.4303 0.4303 0.4303
0.5697 0.5697 0.5697
```

* ΔE to the lowest computed polymorph: 2.025 eV per formula unit
* space group: R-3m, No. 166

=====

VASP calculation (SCAN) on a crystal of CaHF relaxed with PBEsol.

POSCAR file:
```
CaHF
1.0
0.0000 2.6973 2.6973
2.6973 0.0000 2.6973
2.6973 2.6973 0.0000
Ca H F
1 1 1
direct
0.0000 0.0000 0.0000
0.2500 0.2500 0.2500
0.7500 0.7500 0.7500
```

* final energy: -7.97 eV per atom
* space group: F-43m, No. 216

=====

VASP calculation (SCAN) on a crystal of KCa4Si8H16O28F relaxed with PBEsol.

POSCAR file:
```
KCa4Si8H16O28F
1.0
8.8970 0.0000 0.0000
0.0000 8.8970 0.0000
0.0000 0.0000 15.8014
K Ca Si H O F
2 8 16 32 56 2
direct
0.0000 0.0000 0.0000
0.5000 0.5000 0.5000
0.1138 0.2488 0.5000
0.2488 0.8862 0.5000
0.2512 0.3862 0.0000
0.3862 0.7488 0.0000
0.6138 0.2512 0.0000
0.7488 0.6138 0.0000
0.7512 0.1138 0.5000
0.8862 0.7512 0.5000
0.0835 0.7694 0.3113
0.0835 0.7694 0.6887
0.2306 0.0835 0.3113
0.2306 0.0835 0.6887
0.2695 0.5835 0.1887
0.2695 0.5835 0.8113
0.4165 0.2695 0.1887
0.4165 0.2695 0.8113
0.5835 0.7306 0.1887
0.5835 0.7306 0.8113
0.7306 0.4165 0.1887
0.7306 0.4165 0.8113
0.7694 0.9165 0.3113
0.7694 0.9165 0.6887
0.9165 0.2306 0.3113
0.9165 0.2306 0.6887
0.0555 0.6684 0.0877
0.0555 0.6684 0.9123
0.0724 0.2768 0.1497
0.0724 0.2768 0.8503
0.1684 0.5555 0.4123
0.1684 0.5555 0.5877
0.2232 0.4276 0.3503
0.2232 0.4276 0.6497
0.2768 0.9276 0.1497
0.2768 0.9276 0.8503
0.3316 0.0555 0.0877
0.3316 0.0555 0.9123
0.4276 0.7768 0.3503
0.4276 0.7768 0.6497
0.4445 0.1684 0.4123
0.4445 0.1684 0.5877
0.5555 0.8316 0.4123
0.5555 0.8316 0.5877
0.5724 0.2232 0.3503
0.5724 0.2232 0.6497
0.6684 0.9445 0.0877
0.6684 0.9445 0.9123
0.7232 0.0724 0.1497
0.7232 0.0724 0.8503
0.7768 0.5724 0.3503
0.7768 0.5724 0.6497
0.8316 0.4445 0.4123
0.8316 0.4445 0.5877
0.9276 0.7232 0.1497
0.9276 0.7232 0.8503
0.9445 0.3316 0.0877
0.9445 0.3316 0.9123
0.0493 0.2858 0.0891
0.0493 0.2858 0.9109
0.0891 0.1909 0.2829
0.0891 0.1909 0.7171
0.1005 0.7295 0.4098
0.1005 0.7295 0.5902
0.1296 0.6296 0.2500
0.1296 0.6296 0.7500
0.1909 0.9109 0.2829
0.1909 0.9109 0.7171
0.2142 0.4507 0.4109
0.2142 0.4507 0.5891
0.2295 0.6005 0.0902
0.2295 0.6005 0.9098
0.2705 0.1005 0.4098
0.2705 0.1005 0.5902
0.2858 0.9507 0.0891
0.2858 0.9507 0.9109
0.3091 0.4109 0.2171
0.3091 0.4109 0.7829
0.3704 0.1296 0.2500
0.3704 0.1296 0.7500
0.3995 0.2295 0.0902
0.3995 0.2295 0.9098
0.4109 0.6909 0.2171
0.4109 0.6909 0.7829
0.4507 0.7858 0.4109
0.4507 0.7858 0.5891
0.5493 0.2142 0.4109
0.5493 0.2142 0.5891
0.5891 0.3091 0.2171
0.5891 0.3091 0.7829
0.6005 0.7705 0.0902
0.6005 0.7705 0.9098
0.6296 0.8704 0.2500
0.6296 0.8704 0.7500
0.6909 0.5891 0.2171
0.6909 0.5891 0.7829
0.7142 0.0493 0.0891
0.7142 0.0493 0.9109
0.7295 0.8995 0.4098
0.7295 0.8995 0.5902
0.7705 0.3995 0.0902
0.7705 0.3995 0.9098
0.7858 0.5493 0.4109
0.7858 0.5493 0.5891
0.8091 0.0891 0.2829
0.8091 0.0891 0.7171
0.8704 0.3704 0.2500
0.8704 0.3704 0.7500
0.8995 0.2705 0.4098
0.8995 0.2705 0.5902
0.9109 0.8091 0.2829
0.9109 0.8091 0.7171
0.9507 0.7142 0.0891
0.9507 0.7142 0.9109
0.0000 0.0000 0.5000
0.5000 0.5000 0.0000
```

* final energy: -8.54 eV per atom
* space group: P4/mnc, No. 128

=====

VASP calculation (SCAN) on a crystal of CaHNF2 relaxed with PBEsol.

POSCAR file:
```
CaHNF2
1.0
4.3276 0.0000 0.0000
0.0000 4.3276 0.0000
0.0000 0.0000 5.7669
Ca H N F
1 1 1 2
direct
0.0000 0.0000 0.0000
0.5000 0.5000 0.5000
0.0000 0.0000 0.5000
0.0000 0.5000 0.0000
0.5000 0.0000 0.0000
```

* final energy: -6.69 eV per atom
* space group: P4/mmm, No. 123